## TlCrRe2 (PBE)

Data for a geometry-optimized TlCrRe2 structure.

abc: 4.840 4.840 4.909
angles: 79.34 79.34 35.76
Positions (direct):
Cr1 0.737 0.737 0.805
Re1 0.004 0.004 0.000
Re2 0.261 0.261 0.187
Tl1 0.498 0.498 0.508

Results
excess energy over the best structure of this formula in the dataset: 210 meV per atom
energy of formation: 0.725 eV/atom

***

## NbRhS2 (PBE)

Data for a geometry-optimized NbRhS2 structure.

abc: 8.062 8.062 8.062
angles: 22.77 22.77 22.77
Positions (direct):
Nb1 0.500 0.500 0.500
Rh1 0.000 0.000 0.000
S1 0.904 0.904 0.904
S2 0.096 0.096 0.096

Results
energy relative to the elements, uncorrected: -0.56 eV per atom

***

One value per record, in order, for E_tot: -34.0; -27.9 eV/f.u..